Record 1
# Nd3Sm3YZn2

Crystalline Nd3Sm3YZn2 at its relaxed geometry (PBE-GGA, Alexandria).

Output
Total energy in eV/atom: -4.180
ρ in g/cm3: 6.766
Space-group type: P-62m
Energy of formation in eV/atom: -0.016
M_tot in μB per cell: 0.00
DOS(E_F) in states/eV/atom: 1.48

```
Nd3Sm3YZn2
1.0
9.227 0.000 0.000
-4.613 7.991 0.000
0.000 0.000 3.674
Nd Sm Y Zn
3 3 1 2
Cartesian
-3.159 5.472 0.000
1.454 2.519 0.000
6.319 0.000 0.000
-1.732 2.999 1.837
3.463 0.000 1.837
2.882 4.992 1.837
0.000 0.000 1.837
0.000 5.327 0.000
4.613 2.664 0.000
```

***

Record 2
# SmGeRu

Crystalline SmGeRu at its relaxed geometry (PBE-GGA, Alexandria).

Output
Total energy in eV/atom: -6.874
ρ in g/cm3: 9.147
Space-group type: Pnma
Energy of formation in eV/atom: -0.670
M_tot in μB per cell: 0.00
DOS(E_F) in states/eV/atom: 0.84

```
SmGeRu
1.0
7.199 0.000 0.000
0.000 4.521 0.000
0.000 0.000 7.230
Sm Ge Ru
4 4 4
Cartesian
0.151 1.130 1.367
3.449 3.391 4.983
3.750 1.130 2.248
7.048 3.391 5.863
1.421 1.130 4.386
2.178 3.391 0.771
5.021 1.130 6.460
5.778 3.391 2.845
1.097 3.391 3.144
2.502 1.130 6.759
4.697 3.391 0.471
6.102 1.130 4.086
```

***

Record 3
# Mn4FeSi

Crystalline Mn4FeSi at its relaxed geometry (PBE-GGA, Alexandria).

Output
Total energy in eV/atom: -8.557
ρ in g/cm3: 7.579
Space-group type: P4/mmm
ΔE_f (raw) in meV per atom: -129.5
M_tot in μB per cell: 4.48
DOS(E_F) in states/eV/atom: 0.99
E above lowest polymorph in meV per atom: 0

```
Mn4FeSi
1.0
2.807 0.000 0.000
0.000 2.807 0.000
0.000 0.000 8.444
Mn Fe Si
4 1 1
Cartesian
0.000 0.000 1.401
0.000 0.000 7.043
1.404 1.404 2.770
1.404 1.404 5.673
0.000 0.000 4.222
1.404 1.404 0.000
```

***

Record 4
# ReNiPb2

Crystalline ReNiPb2 at its relaxed geometry (PBE-GGA, Alexandria).

Output
Total energy in eV/atom: -5.581
ρ in g/cm3: 14.104
Space-group type: R-3m
Energy of formation in eV/atom: 0.830
M_tot in μB per cell: 0.90
DOS(E_F) in states/eV/atom: 1.03
E above lowest polymorph in meV per atom: 385

```
ReNiPb2
1.0
3.246 0.000 0.000
-1.623 2.811 0.000
0.000 0.000 25.523
Re Ni Pb
3 3 6
Cartesian
0.000 0.000 0.000
0.000 1.874 17.016
1.623 0.937 8.508
0.000 0.000 12.762
0.000 1.874 4.254
1.623 0.937 21.270
0.000 0.000 6.284
0.000 0.000 19.239
0.000 1.874 10.731
0.000 1.874 23.300
1.623 0.937 2.224
1.623 0.937 14.792
```

***

Record 5
# Fe3MoS

Crystalline Fe3MoS at its relaxed geometry (PBE-GGA, Alexandria).

Output
Total energy in eV/atom: -6.418
ρ in g/cm3: 5.349
Space-group type: Pm-3m
ΔE_f (raw) in meV per atom: 1651.5
M_tot in μB per cell: 5.60
DOS(E_F) in states/eV/atom: 1.38
E above lowest polymorph in meV per atom: 1118

```
Fe3MoS
1.0
4.510 0.000 0.000
0.000 4.510 0.000
0.000 0.000 4.510
Fe Mo S
3 1 1
Cartesian
0.000 0.000 2.255
0.000 2.255 0.000
2.255 0.000 0.000
0.000 0.000 0.000
2.255 2.255 2.255
```

***

Record 6
# PbC

Crystalline PbC at its relaxed geometry (PBE-GGA, Alexandria).

Output
Total energy in eV/atom: -4.990
ρ in g/cm3: 9.513
Space-group type: F-43m
Energy of formation in eV/atom: 1.476
M_tot in μB per cell: 0.00
DOS(E_F) in states/eV/atom: 0.09
E above lowest polymorph in meV per atom: 624

```
PbC
1.0
5.349 0.000 0.000
0.000 5.349 0.000
0.000 0.000 5.349
Pb C
4 4
Cartesian
0.000 0.000 0.000
0.000 2.675 2.675
2.675 0.000 2.675
2.675 2.675 0.000
1.337 1.337 1.337
1.337 4.012 4.012
4.012 1.337 4.012
4.012 4.012 1.337
```

***

Record 7
# SmSi3Ni3

Crystalline SmSi3Ni3 at its relaxed geometry (PBE-GGA, Alexandria).

Output
Total energy in eV/atom: -5.812
ρ in g/cm3: 5.670
Space-group type: Pm-3n
ΔE_f (raw) in meV per atom: -336.0
M_tot in μB per cell: 0.00
DOS(E_F) in states/eV/atom: 0.67

```
SmSi3Ni3
1.0
6.219 0.000 0.000
0.000 6.219 0.000
0.000 0.000 6.219
Sm Si Ni
2 6 6
Cartesian
0.000 0.000 0.000
3.110 3.110 3.110
0.000 1.555 3.110
0.000 4.665 3.110
1.555 3.110 0.000
3.110 0.000 1.555
3.110 0.000 4.665
4.665 3.110 0.000
0.000 3.110 1.555
0.000 3.110 4.665
1.555 0.000 3.110
3.110 1.555 0.000
3.110 4.665 0.000
4.665 0.000 3.110
```

***

Record 8
# Fe2Si2Sb

Crystalline Fe2Si2Sb at its relaxed geometry (PBE-GGA, Alexandria).

Output
Total energy in eV/atom: -6.187
ρ in g/cm3: 6.885
Space-group type: P4/mbm
ΔE_f (raw) in meV per atom: 191.8
M_tot in μB per cell: 0.00
DOS(E_F) in states/eV/atom: 0.75
E above lowest polymorph in meV per atom: 155

```
Fe2Si2Sb
1.0
7.142 0.000 0.000
0.000 7.142 0.000
0.000 0.000 2.739
Fe Si Sb
4 4 2
Cartesian
1.083 2.488 0.000
2.488 6.059 0.000
4.654 1.083 0.000
6.059 4.654 0.000
0.924 4.495 1.369
2.647 0.924 1.369
4.495 6.218 1.369
6.218 2.647 1.369
0.000 0.000 1.369
3.571 3.571 1.369
```